A) VASP calculation (GGA-PBE) on crystalline Ac4AlCd at its relaxed geometry.

Values from the calculation:
N(E_F)   1.296 states/eV/atom

a b c (Å): 4.028 4.028 13.634
angles (deg): 90.00 90.00 90.00
Element x y z (fractional)
Ac  0.500  0.500  0.862
Ac  0.500  0.500  0.138
Ac  0.000  0.000  0.651
Ac  0.000  0.000  0.349
Al  0.000  0.000  0.000
Cd  0.500  0.500  0.500

B) VASP calculation (GGA-PBE) on crystalline Ac4AlCd at its relaxed geometry.

Values from the calculation:
N(E_F)   1.168 states/eV/atom

a b c (Å): 5.537 5.537 9.662
angles (deg): 73.36 73.35 60.00
Element x y z (fractional)
Ac  0.622  0.622  0.133
Ac  0.378  0.378  0.867
Ac  0.127  0.127  0.619
Ac  0.873  0.873  0.381
Al  0.500  0.500  0.500
Cd  0.000  0.000  0.000

Bottom line: A), by a margin of 151 meV per atom.